# 1
GGA-PBE Ce2ErGa, relaxed; M_tot = 0.0031 μB/atom; energy above the lowest structure with this stoichiometry = 0.109 eV/atom; ΔE_f = -0.70 eV per formula unit
1.0
-0.007 2.833 -2.670
-3.882 -0.209 -0.212
-0.547 4.884 5.184
Er Ga Ce
1 1 2
direct
0.500 0.500 0.500 Er
0.500 0.500 0.000 Ga
0.000 0.000 0.196 Ce
0.000 0.000 0.804 Ce


# 2
GGA-PBE SiPd2Au, relaxed; M_tot = 0.0000 μB/atom; formation energy without anion corrections = -339 meV per atom
1.0
-2.194 -3.317 0.123
-0.141 -2.410 -3.162
3.119 -4.422 0.729
Au Pd Si
1 2 1
direct
0.498 0.498 0.507 Au
0.277 0.277 0.170 Pd
0.058 0.058 0.827 Pd
0.668 0.668 0.996 Si


# 3
GGA-PBE Co2TcMo, relaxed; M_tot = 0.0001 μB/atom; energy above the lowest structure with this stoichiometry = 0.060 eV/atom; ΔE_f = 0.11 eV per formula unit
1.0
-1.718 1.084 4.071
1.855 -3.512 3.428
4.056 1.213 3.099
Co Mo Tc
4 2 2
direct
0.749 0.377 0.872 Co
0.251 0.623 0.128 Co
0.251 0.128 0.623 Co
0.749 0.872 0.377 Co
0.239 0.130 0.129 Mo
0.761 0.870 0.871 Mo
0.747 0.376 0.376 Tc
0.253 0.624 0.624 Tc


# 4
GGA-PBE RbBeHgAu2, relaxed; M_tot = 0.0000 μB/atom; ΔE_f = -0.30 eV per formula unit
1.0
-3.763 0.859 2.907
-0.631 -4.754 0.587
3.121 0.082 4.015
Rb Hg Be Au
1 1 1 2
direct
0.500 0.500 0.500 Rb
0.000 0.000 0.500 Hg
0.000 0.000 0.000 Be
0.500 0.000 0.000 Au
0.000 0.500 0.000 Au


# 5
GGA-PBE CrGaIrRh, relaxed; M_tot = 0.7502 μB/atom; ΔE_f = -1.30 eV per formula unit
1.0
-0.562 2.450 -3.483
-3.382 -0.657 -2.565
-3.197 2.866 -0.116
Cr Rh Ga Ir
1 1 1 1
direct
0.000 0.000 0.000 Cr
0.750 0.750 0.750 Rh
0.500 0.500 0.500 Ga
0.250 0.250 0.250 Ir


# 6
GGA-PBE CdCu2Ru, relaxed; M_tot = 0.0925 μB/atom; ΔE_f = 1.33 eV per formula unit
1.0
-0.638 0.930 -2.456
-1.982 -1.290 1.309
-2.659 7.773 3.634
Ru Cu Cd
1 2 1
direct
0.000 0.000 0.481 Ru
0.500 0.500 0.243 Cu
0.000 0.000 0.020 Cu
0.500 0.500 0.756 Cd


# 7
GGA-PBE Mn2TlOs, relaxed; M_tot = 0.2111 μB/atom; energy above the lowest structure with this stoichiometry = 0.446 eV/atom; ΔE_f = 3.43 eV per formula unit
1.0
0.000 3.067 3.067
3.067 0.000 3.067
3.067 3.067 0.000
Tl Mn Os
1 2 1
direct
0.500 0.500 0.500 Tl
0.250 0.250 0.250 Mn
0.750 0.750 0.750 Mn
0.000 0.000 0.000 Os


# 8
GGA-PBE RbLi2Be2F7, relaxed; M_tot = 0.0097 μB/atom; formation energy without anion corrections = -3149 meV per atom
1.0
-1.247 0.213 4.858
6.284 -7.761 1.953
9.419 8.079 2.064
F Li Be Rb
28 8 8 4
direct
0.824 0.959 0.382 F
0.304 0.547 0.879 F
0.630 0.696 0.445 F
0.581 0.890 0.620 F
0.804 0.953 0.121 F
0.591 0.890 0.879 F
0.196 0.047 0.879 F
0.419 0.110 0.380 F
0.141 0.813 0.952 F
0.919 0.390 0.620 F
0.909 0.390 0.879 F
0.676 0.459 0.382 F
0.091 0.610 0.121 F
0.641 0.687 0.048 F
0.800 0.150 0.248 F
0.300 0.350 0.752 F
0.370 0.304 0.555 F
0.696 0.453 0.121 F
0.081 0.610 0.380 F
0.859 0.187 0.048 F
0.324 0.541 0.618 F
0.176 0.041 0.618 F
0.870 0.196 0.445 F
0.409 0.110 0.121 F
0.200 0.850 0.752 F
0.700 0.650 0.248 F
0.359 0.313 0.952 F
0.130 0.804 0.555 F
0.211 0.150 0.499 Li
0.289 0.650 0.499 Li
0.209 0.152 0.000 Li
0.789 0.850 0.501 Li
0.711 0.350 0.501 Li
0.791 0.848 0.000 Li
0.709 0.348 0.000 Li
0.291 0.652 0.000 Li
0.776 0.601 0.366 Be
0.224 0.399 0.634 Be
0.285 0.903 0.868 Be
0.724 0.101 0.366 Be
0.215 0.403 0.868 Be
0.276 0.899 0.634 Be
0.715 0.097 0.132 Be
0.785 0.597 0.132 Be
0.763 0.640 0.751 Rb
0.263 0.860 0.249 Rb
0.737 0.140 0.751 Rb
0.237 0.360 0.249 Rb


# 9
GGA-PBE FeCuSb2, relaxed; M_tot = 0.4643 μB/atom; formation energy without anion corrections = 206 meV per atom
1.0
7.793 -0.055 -0.033
7.076 3.267 -0.033
7.076 1.528 2.887
Cu Sb Fe
1 2 1
direct
0.250 0.250 0.250 Cu
0.004 0.004 0.004 Sb
0.496 0.496 0.496 Sb
0.750 0.750 0.750 Fe


# 10
GGA-PBE LiSnTe4, relaxed; M_tot = 0.0000 μB/atom; formation energy without anion corrections = -315 meV per atom
1.0
7.248 0.000 0.261
0.000 7.187 0.000
0.152 0.000 7.149
Li Te Sn
2 8 2
direct
0.500 0.000 0.500 Li
0.000 0.500 0.500 Li
0.108 0.402 0.867 Te
0.116 0.878 0.588 Te
0.616 0.622 0.588 Te
0.384 0.378 0.412 Te
0.892 0.598 0.133 Te
0.884 0.122 0.412 Te
0.608 0.098 0.867 Te
0.392 0.902 0.133 Te
0.000 0.000 0.000 Sn
0.500 0.500 0.000 Sn


# 11
GGA-PBE Sc3HgGe, relaxed; M_tot = 0.2046 μB/atom; energy above the lowest structure with this stoichiometry = 0.000 eV/atom; ΔE_f = -0.67 eV per formula unit
1.0
-0.502 -1.431 -4.825
4.503 -2.293 0.212
-2.247 -4.275 1.502
Ge Sc Hg
1 3 1
direct
0.000 0.000 0.000 Ge
0.500 0.000 0.000 Sc
0.000 0.000 0.500 Sc
0.000 0.500 0.000 Sc
0.500 0.500 0.500 Hg


# 12
GGA-PBE Sr4Li3Cd, relaxed; M_tot = 0.0000 μB/atom; ΔE_f = -0.58 eV per formula unit
1.0
-3.765 2.290 -1.605
-2.507 -1.211 4.154
4.150 10.785 5.649
Li Cd Sr
3 1 4
direct
0.000 0.500 0.564 Li
0.500 0.000 0.940 Li
0.000 0.000 0.434 Li
0.500 0.500 0.065 Cd
0.000 0.000 0.142 Sr
0.000 0.500 0.861 Sr
0.500 0.500 0.346 Sr
0.500 0.000 0.648 Sr


# 13
GGA-PBE MgRePt3, relaxed; M_tot = 0.8891 μB/atom; energy above the lowest structure with this stoichiometry = 0.543 eV/atom; ΔE_f = 6.68 eV per formula unit
1.0
4.541 0.000 0.000
0.000 4.541 0.000
0.000 0.000 4.541
Pt Mg Re
3 1 1
direct
0.000 0.500 0.000 Pt
0.000 0.000 0.500 Pt
0.500 0.000 0.000 Pt
0.000 0.000 0.000 Mg
0.500 0.500 0.500 Re


# 14
GGA-PBE BeGeTe2Br, relaxed; M_tot = 0.0000 μB/atom; formation energy without anion corrections = 224 meV per atom
1.0
-4.758 1.463 1.340
-1.780 -3.216 -2.809
0.044 -3.405 3.870
Be Te Br Ge
1 2 1 1
direct
0.000 0.000 0.000 Be
0.500 0.000 0.000 Te
0.000 0.000 0.500 Te
0.000 0.500 0.000 Br
0.500 0.500 0.500 Ge


# 15
GGA-PBE RbPb6F12, relaxed; M_tot = 0.0507 μB/atom; formation energy without anion corrections = -2197 meV per atom
1.0
-5.363 4.457 -2.986
-1.332 -6.807 -3.071
-2.087 -0.802 7.248
Pb F Rb
6 12 1
direct
0.419 0.775 0.775 Pb
0.775 0.419 0.775 Pb
0.775 0.775 0.419 Pb
0.225 0.581 0.225 Pb
0.225 0.225 0.581 Pb
0.581 0.225 0.225 Pb
0.332 0.332 0.091 F
0.909 0.668 0.668 F
0.500 0.883 0.117 F
0.668 0.909 0.668 F
0.117 0.500 0.883 F
0.091 0.332 0.332 F
0.668 0.668 0.909 F
0.883 0.500 0.117 F
0.117 0.883 0.500 F
0.883 0.117 0.500 F
0.500 0.117 0.883 F
0.332 0.091 0.332 F
0.000 0.000 0.000 Rb


# 16
GGA-PBE AlTc2SnSe, relaxed; M_tot = 1.1010 μB/atom; formation energy without anion corrections = 1674 meV per atom
1.0
-0.991 4.473 2.246
0.868 -2.179 4.721
4.934 1.257 -0.327
Al Sn Tc Se
1 1 2 1
direct
0.500 0.500 0.500 Al
0.000 0.000 0.000 Sn
0.500 0.000 0.000 Tc
0.000 0.000 0.500 Tc
0.000 0.500 0.000 Se


# 17
GGA-PBE ThNiSn2, relaxed; M_tot = 0.0000 μB/atom; ΔE_f = -1.65 eV per formula unit
1.0
-1.136 -4.284 -0.273
1.730 -0.712 3.981
-4.742 3.542 0.253
Sn Th Ni
2 1 1
direct
0.919 0.794 0.839 Sn
0.206 0.083 0.412 Sn
0.565 0.439 0.130 Th
0.810 0.184 0.620 Ni


# 18
GGA-PBE DyLuZnPt, relaxed; M_tot = 0.0001 μB/atom; ΔE_f = -3.28 eV per formula unit
1.0
4.933 0.000 0.000
2.466 4.272 0.000
2.466 1.424 4.028
Dy Pt Zn Lu
1 1 1 1
direct
0.000 0.000 0.000 Dy
0.750 0.750 0.750 Pt
0.250 0.250 0.250 Zn
0.500 0.500 0.500 Lu


# 19
GGA-PBE La2DyTm, relaxed; M_tot = 0.0000 μB/atom; energy above the lowest structure with this stoichiometry = 0.010 eV/atom; ΔE_f = 0.13 eV per formula unit
1.0
5.840 0.077 -0.038
-0.106 6.928 -2.268
0.063 -1.268 7.179
Tm Dy La
2 2 4
direct
0.250 0.414 0.586 Tm
0.750 0.586 0.414 Tm
0.750 0.086 0.914 Dy
0.250 0.914 0.086 Dy
0.750 0.089 0.410 La
0.250 0.410 0.089 La
0.750 0.590 0.911 La
0.250 0.911 0.590 La